Cs3Ga2I7: relaxed, PBE.

```
Cs3Ga2I7
1.0
2.9755 -15.4876 0.0000
2.9755 15.4876 0.0000
0.0000 0.0000 5.8135
Cs Ga I
3 2 7
Direct
0.0000 0.0000 0.0000
0.1823 0.8177 0.0000
0.8177 0.1823 0.0000
0.3987 0.6013 0.5000
0.6013 0.3987 0.5000
0.0964 0.9036 0.5000
0.3037 0.6963 0.5000
0.4029 0.5971 0.0000
0.5000 0.5000 0.5000
0.5971 0.4029 0.0000
0.6963 0.3037 0.5000
0.9036 0.0964 0.5000
```

Properties
Its crystal system is orthorhombic. The value obtained for the raw formation energy is -0.957 eV/atom. For the calculated density, the calculation gives 4.42 g/cm³. The space group is Cmmm.